Entry 1:
{
  "formula": "BaTc3Br",
  "functional": "GGA-PBE",
  "state": "relaxed",
  "sg": "Pm-3m, No. 221",
  "formation_energy_uncorrected_ev_per_atom": 2.855,
  "lattice": [[5.3610, 0.0000, 0.0000], [0.0000, 5.3610, 0.0000], [0.0000, 0.0000, 5.3610]],
  "species": ["Ba", "Tc", "Tc", "Tc", "Br"],
  "fractional_positions": [[0.0000, 0.0000, 0.0000], [0.0000, 0.0000, 0.5000], [0.0000, 0.5000, 0.0000], [0.5000, 0.0000, 0.0000], [0.5000, 0.5000, 0.5000]]
}

Entry 2:
{
  "formula": "BaTcBr",
  "functional": "GGA-PBE",
  "state": "relaxed",
  "sg": "F-43m, No. 216",
  "formation_energy_uncorrected_ev_per_atom": 0.777,
  "lattice": [[0.0000, 3.9850, 3.9850], [3.9850, 0.0000, 3.9850], [3.9850, 3.9850, 0.0000]],
  "species": ["Ba", "Tc", "Br"],
  "fractional_positions": [[0.0000, 0.0000, 0.0000], [0.7500, 0.7500, 0.7500], [0.2500, 0.2500, 0.2500]]
}

Entry 3:
{
  "formula": "BaTcBr",
  "functional": "GGA-PBE",
  "state": "relaxed",
  "sg": "I4mm, No. 107",
  "formation_energy_uncorrected_ev_per_atom": 0.476,
  "lattice": [[-1.8589, 1.8589, 6.0803], [1.8589, -1.8589, 6.0803], [1.8589, 1.8589, -6.0803]],
  "species": ["Ba", "Tc", "Br"],
  "fractional_positions": [[0.0000, 0.0000, 0.0000], [0.6851, 0.6851, 0.0000], [0.2984, 0.2984, 0.0000]]
}

Entry 4:
{
  "formula": "BaTl2TcBr8",
  "functional": "GGA-PBE",
  "state": "relaxed",
  "sg": "P-1, No. 2",
  "formation_energy_uncorrected_ev_per_atom": -0.969,
  "lattice": [[6.6458, 0.0000, 0.0000], [-2.8300, 7.8830, 0.0000], [-0.0096, -0.0192, 9.1335]],
  "species": ["Ba", "Tl", "Tl", "Tc", "Br", "Br", "Br", "Br", "Br", "Br", "Br", "Br"],
  "fractional_positions": [[0.0000, 0.0000, 0.0000], [0.0055, 0.5016, 0.2579], [0.9945, 0.4984, 0.7421], [0.0000, 0.0000, 0.5000], [0.2352, 0.1941, 0.6968], [0.2365, 0.8222, 0.5026], [0.2380, 0.1914, 0.3039], [0.2583, 0.7379, 0.9983], [0.7417, 0.2621, 0.0017], [0.7620, 0.8086, 0.6961], [0.7635, 0.1778, 0.4974], [0.7648, 0.8059, 0.3032]]
}

Entry 5:
{
  "formula": "BaTc2WBr",
  "functional": "GGA-PBE",
  "state": "relaxed",
  "sg": "P4/mmm, No. 123",
  "formation_energy_uncorrected_ev_per_atom": 2.096,
  "lattice": [[4.6174, 0.0000, 0.0000], [0.0000, 4.6174, 0.0000], [0.0000, 0.0000, 5.6095]],
  "species": ["Ba", "Tc", "Tc", "W", "Br"],
  "fractional_positions": [[0.0000, 0.0000, 0.0000], [0.0000, 0.5000, 0.5000], [0.5000, 0.0000, 0.5000], [0.5000, 0.5000, 0.0000], [0.0000, 0.0000, 0.5000]]
}

Entry 6:
{
  "formula": "Ba2ZnTcBr",
  "functional": "GGA-PBE",
  "state": "relaxed",
  "sg": "P4/mmm, No. 123",
  "formation_energy_uncorrected_ev_per_atom": 0.240,
  "lattice": [[6.0537, 0.0000, 0.0000], [0.0000, 6.0537, 0.0000], [0.0000, 0.0000, 4.9680]],
  "species": ["Ba", "Ba", "Zn", "Tc", "Br"],
  "fractional_positions": [[0.0000, 0.5000, 0.0000], [0.5000, 0.0000, 0.0000], [0.0000, 0.0000, 0.5000], [0.5000, 0.5000, 0.0000], [0.5000, 0.5000, 0.5000]]
}

Entry 7:
{
  "formula": "BaZnTc2Br",
  "functional": "GGA-PBE",
  "state": "relaxed",
  "sg": "P4/mmm, No. 123",
  "formation_energy_uncorrected_ev_per_atom": 0.897,
  "lattice": [[4.8083, 0.0000, 0.0000], [0.0000, 4.8083, 0.0000], [0.0000, 0.0000, 6.3936]],
  "species": ["Ba", "Zn", "Tc", "Tc", "Br"],
  "fractional_positions": [[0.0000, 0.0000, 0.0000], [0.5000, 0.5000, 0.5000], [0.0000, 0.5000, 0.5000], [0.5000, 0.0000, 0.5000], [0.5000, 0.5000, 0.0000]]
}

Entry 8:
{
  "formula": "BaTeBr",
  "functional": "GGA-PBE",
  "state": "relaxed",
  "sg": "C2/m, No. 12",
  "formation_energy_uncorrected_ev_per_atom": -1.586,
  "lattice": [[5.3918, -2.4791, 0.0000], [5.3918, 2.4791, 0.0000], [-4.2616, 0.0000, 9.6655]],
  "species": ["Ba", "Ba", "Te", "Te", "Br", "Br"],
  "fractional_positions": [[0.2495, 0.2495, 0.2335], [0.7505, 0.7505, 0.7665], [0.1355, 0.1355, 0.5138], [0.8645, 0.8645, 0.4862], [0.1015, 0.1015, 0.8864], [0.8985, 0.8985, 0.1136]]
}

M_tot? In order: 9.8, 4.0, 2.7, 3.0, 0.0, 1.5, 5.9, 0.0 μB per formula unit.
Mass density? In order: 5.51, 4.14, 6.23, 4.45, 8.29, 4.72, 5.38, 4.43 g/cm3.